No. 1
# Ta2CrSi, relaxed, DFT PBE
# - Uncorrected formation energy: -2.2 kcal/mol of atoms
# - Density: 12.00 Mg/m³
# - Crystal system: tetragonal
data_Ta2CrSi
_chemical_formula_sum 'Ta4 Cr2 Si2'
_space_group_name_H-M_alt 'I 4/m m m'
_space_group_IT_number 139
_space_group_name_Hall '-I 4 2'
_cell_length_a 4.098
_cell_length_b 4.098
_cell_length_c 7.284
_cell_angle_alpha 90.00
_cell_angle_beta 90.00
_cell_angle_gamma 90.00
loop_
_atom_site_label
_atom_site_type_symbol
_atom_site_fract_x
_atom_site_fract_y
_atom_site_fract_z
Ta1 Ta 0.000 0.500 0.250
Cr1 Cr 0.000 0.000 0.000
Si1 Si 0.000 0.000 0.500

=====

No. 2
# Ta2CrSi2, relaxed, DFT PBE
# - Uncorrected formation energy: -9.6 kcal/mol of atoms
# - Density: 10.59 Mg/m³
# - Crystal system: tetragonal
data_Ta2CrSi2
_chemical_formula_sum 'Ta4 Cr2 Si4'
_space_group_name_H-M_alt 'P 4/m b m'
_space_group_IT_number 127
_space_group_name_Hall '-P 4 2ab'
_cell_length_a 6.341
_cell_length_b 6.341
_cell_length_c 3.666
_cell_angle_alpha 90.00
_cell_angle_beta 90.00
_cell_angle_gamma 90.00
loop_
_atom_site_label
_atom_site_type_symbol
_atom_site_fract_x
_atom_site_fract_y
_atom_site_fract_z
Ta1 Ta 0.170 0.330 0.000
Cr1 Cr 0.000 0.000 0.500
Si1 Si 0.134 0.634 0.500

=====

No. 3
# Ta2CrSi, relaxed, DFT PBE
# - Uncorrected formation energy: -3.2 kcal/mol of atoms
# - Density: 12.05 Mg/m³
# - Crystal system: tetragonal
data_Ta2CrSi
_chemical_formula_sum 'Ta2 Cr1 Si1'
_space_group_name_H-M_alt 'P 4/m m m'
_space_group_IT_number 123
_space_group_name_Hall '-P 4 2'
_cell_length_a 4.117
_cell_length_b 4.117
_cell_length_c 3.592
_cell_angle_alpha 90.00
_cell_angle_beta 90.00
_cell_angle_gamma 90.00
loop_
_atom_site_label
_atom_site_type_symbol
_atom_site_fract_x
_atom_site_fract_y
_atom_site_fract_z
Ta1 Ta 0.000 0.500 0.000
Cr1 Cr 0.000 0.000 0.500
Si1 Si 0.500 0.500 0.500

=====

No. 4
# Ta2CrSi, relaxed, DFT PBE
# - Uncorrected formation energy: 11.7 kcal/mol of atoms
# - Density: 10.89 Mg/m³
# - Crystal system: tetragonal
data_Ta2CrSi
_chemical_formula_sum 'Ta8 Cr4 Si4'
_space_group_name_H-M_alt 'I -4 2 d'
_space_group_IT_number 122
_space_group_name_Hall 'I -4 2bw'
_cell_length_a 6.995
_cell_length_b 6.995
_cell_length_c 5.511
_cell_angle_alpha 90.00
_cell_angle_beta 90.00
_cell_angle_gamma 90.00
loop_
_atom_site_label
_atom_site_type_symbol
_atom_site_fract_x
_atom_site_fract_y
_atom_site_fract_z
Ta1 Ta 0.246 0.250 0.125
Cr1 Cr 0.000 0.000 0.500
Si1 Si 0.000 0.000 0.000

=====

No. 5
# Ta2CrSi, relaxed, DFT PBE
# - Uncorrected formation energy: -1.3 kcal/mol of atoms
# - Density: 11.82 Mg/m³
# - Crystal system: orthorhombic
data_Ta2CrSi
_chemical_formula_sum 'Ta4 Cr2 Si2'
_space_group_name_H-M_alt 'C m m m'
_space_group_IT_number 65
_space_group_name_Hall '-C 2 2'
_cell_length_a 3.291
_cell_length_b 4.621
_cell_length_c 8.163
_cell_angle_alpha 90.00
_cell_angle_beta 90.00
_cell_angle_gamma 90.00
loop_
_atom_site_label
_atom_site_type_symbol
_atom_site_fract_x
_atom_site_fract_y
_atom_site_fract_z
Ta1 Ta 0.000 0.000 0.250
Cr1 Cr 0.000 0.500 0.000
Si1 Si 0.000 0.500 0.500

=====

No. 6
# Ta2CrSi, relaxed, DFT PBE
# - Uncorrected formation energy: -3.4 kcal/mol of atoms
# - Density: 11.93 Mg/m³
# - Crystal system: tetragonal
data_Ta2CrSi
_chemical_formula_sum 'Ta2 Cr1 Si1'
_space_group_name_H-M_alt 'P 4 m m'
_space_group_IT_number 99
_cell_length_a 3.265
_cell_length_b 3.265
_cell_length_c 5.773
_cell_angle_alpha 90.00
_cell_angle_beta 90.00
_cell_angle_gamma 90.00
loop_
_space_group_symop_operation_xyz
'x,y,z'
'-y,x,z'
'-x,-y,z'
'y,-x,z'
'-x,y,z'
'y,x,z'
'x,-y,z'
'-y,-x,z'
loop_
_atom_site_label
_atom_site_type_symbol
_atom_site_fract_x
_atom_site_fract_y
_atom_site_fract_z
Ta1 Ta 0.000 0.000 0.000
Ta2 Ta 0.500 0.500 0.287
Cr1 Cr 0.000 0.000 0.550
Si1 Si 0.500 0.500 0.756

=====

No. 7
# Ta2CrSi, relaxed, DFT PBE
# - Uncorrected formation energy: -1.7 kcal/mol of atoms
# - Density: 11.88 Mg/m³
# - Crystal system: orthorhombic
data_Ta2CrSi
_chemical_formula_sum 'Ta4 Cr2 Si2'
_space_group_name_H-M_alt 'C m m 2'
_space_group_IT_number 35
_cell_length_a 3.314
_cell_length_b 4.558
_cell_length_c 8.175
_cell_angle_alpha 90.00
_cell_angle_beta 90.00
_cell_angle_gamma 90.00
loop_
_space_group_symop_operation_xyz
'x,y,z'
'-x,-y,z'
'-x,y,z'
'x,-y,z'
'x+1/2,y+1/2,z'
'-x+1/2,-y+1/2,z'
'-x+1/2,y+1/2,z'
'x+1/2,-y+1/2,z'
loop_
_atom_site_label
_atom_site_type_symbol
_atom_site_fract_x
_atom_site_fract_y
_atom_site_fract_z
Ta1 Ta 0.000 0.000 0.000
Ta2 Ta 0.000 0.500 0.292
Cr1 Cr 0.000 0.500 0.750
Si1 Si 0.000 0.000 0.539

=====

No. 8
# TaCrSiTc, relaxed, DFT PBE
# - Uncorrected formation energy: -6.9 kcal/mol of atoms
# - Density: 10.47 Mg/m³
# - Crystal system: cubic
data_TaCrSiTc
_chemical_formula_sum 'Ta4 Cr4 Si4 Tc4'
_space_group_name_H-M_alt 'F -4 3 m'
_space_group_IT_number 216
_space_group_name_Hall 'F -4 2 3'
_cell_length_a 6.106
_cell_length_b 6.106
_cell_length_c 6.106
_cell_angle_alpha 90.00
_cell_angle_beta 90.00
_cell_angle_gamma 90.00
loop_
_atom_site_label
_atom_site_type_symbol
_atom_site_fract_x
_atom_site_fract_y
_atom_site_fract_z
Ta1 Ta 0.000 0.000 0.000
Cr1 Cr 0.250 0.250 0.250
Si1 Si 0.000 0.000 0.500
Tc1 Tc 0.250 0.250 0.750

=====

No. 9
# TaCrSi2Tc, relaxed, DFT PBE
# - Uncorrected formation energy: 21.3 kcal/mol of atoms
# - Density: 7.75 Mg/m³
# - Crystal system: tetragonal
data_TaCrSi2Tc
_chemical_formula_sum 'Ta1 Cr1 Si2 Tc1'
_space_group_name_H-M_alt 'P 4/m m m'
_space_group_IT_number 123
_space_group_name_Hall '-P 4 2'
_cell_length_a 4.291
_cell_length_b 4.291
_cell_length_c 4.507
_cell_angle_alpha 90.00
_cell_angle_beta 90.00
_cell_angle_gamma 90.00
loop_
_atom_site_label
_atom_site_type_symbol
_atom_site_fract_x
_atom_site_fract_y
_atom_site_fract_z
Ta1 Ta 0.000 0.000 0.000
Cr1 Cr 0.500 0.500 0.500
Si1 Si 0.000 0.500 0.500
Tc1 Tc 0.500 0.500 0.000

=====

No. 10
# YTaCr2Si, relaxed, DFT PBE
# - Uncorrected formation energy: 23.8 kcal/mol of atoms
# - Density: 7.03 Mg/m³
# - Crystal system: tetragonal
data_YTaCr2Si
_chemical_formula_sum 'Y1 Ta1 Cr2 Si1'
_space_group_name_H-M_alt 'P 4/m m m'
_space_group_IT_number 123
_space_group_name_Hall '-P 4 2'
_cell_length_a 4.345
_cell_length_b 4.345
_cell_length_c 5.028
_cell_angle_alpha 90.00
_cell_angle_beta 90.00
_cell_angle_gamma 90.00
loop_
_atom_site_label
_atom_site_type_symbol
_atom_site_fract_x
_atom_site_fract_y
_atom_site_fract_z
Y1 Y 0.000 0.000 0.000
Ta1 Ta 0.500 0.500 0.000
Cr1 Cr 0.000 0.500 0.500
Si1 Si 0.000 0.000 0.500

=====

No. 11
# ZrTaCrSi2, relaxed, DFT PBE
# - Uncorrected formation energy: 35.7 kcal/mol of atoms
# - Density: 6.03 Mg/m³
# - Crystal system: tetragonal
data_ZrTaCrSi2
_chemical_formula_sum 'Zr1 Ta1 Cr1 Si2'
_space_group_name_H-M_alt 'P 4/m m m'
_space_group_IT_number 123
_space_group_name_Hall '-P 4 2'
_cell_length_a 4.841
_cell_length_b 4.841
_cell_length_c 4.470
_cell_angle_alpha 90.00
_cell_angle_beta 90.00
_cell_angle_gamma 90.00
loop_
_atom_site_label
_atom_site_type_symbol
_atom_site_fract_x
_atom_site_fract_y
_atom_site_fract_z
Zr1 Zr 0.000 0.000 0.000
Ta1 Ta 0.500 0.500 0.500
Cr1 Cr 0.000 0.000 0.500
Si1 Si 0.000 0.500 0.000

=====

No. 12
# TbCrSi2, relaxed, DFT PBE
# - Uncorrected formation energy: -9.4 kcal/mol of atoms
# - Density: 6.24 Mg/m³
# - Crystal system: trigonal
data_TbCrSi2
_chemical_formula_sum 'Tb3 Cr3 Si6'
_space_group_name_H-M_alt 'R -3 m'
_space_group_IT_number 166
_space_group_name_Hall '-R 3 2"'
_cell_length_a 4.0550
_cell_length_b 4.0550
_cell_length_c 14.9656
_cell_angle_alpha 90.00
_cell_angle_beta 90.00
_cell_angle_gamma 120.00
loop_
_atom_site_label
_atom_site_type_symbol
_atom_site_fract_x
_atom_site_fract_y
_atom_site_fract_z
Tb1 Tb 0.0000 0.0000 0.0000
Cr1 Cr 0.0000 0.0000 0.5000
Si1 Si 0.0000 0.0000 0.2153

=====

Q: Which formula does entry 7 have?
A: Ta2CrSi

=====

Q: Number 7 is which compound?
A: Ta2CrSi

=====

Q: Which value of density does entry 4 give?
A: 10.89 Mg/m³